[1]
First-principles (PBE) data for a relaxed Re2SbC crystal, as listed in Alexandria.

Properties
V, Å³/f.u.: 72.1
Formation energy without anion corrections, kJ per mole of atoms: 84

a b c (Å): 4.817 4.817 12.423
angles (deg): 90.00 90.00 90.00
Space group I-42d (No. 122)
Unique sites:
Re: 0.111 0.250 0.125
Sb: 0.000 0.000 0.500
C: 0.000 0.000 0.000

[2]
First-principles (PBE) data for a relaxed HoTm6Se8 crystal, as listed in Alexandria.

Properties
V, Å³/f.u.: 363.2
Formation energy without anion corrections, kJ per mole of atoms: -171

a b c (Å): 11.326 11.326 11.326
angles (deg): 90.00 90.00 90.00
Space group Fm-3m (No. 225)
Unique sites:
Ho: 0.000 0.000 0.000
Tm: 0.000 0.250 0.250
Se: 0.000 0.000 0.255
Se: 0.250 0.250 0.250

[3]
First-principles (PBE) data for a relaxed La3ZnOs crystal, as listed in Alexandria.

Properties
Formation energy, eV/atom: -0.19
V, Å³/f.u.: 145.3

a b c (Å): 5.943 6.791 8.612
angles (deg): 99.66 103.43 115.49
Space group P-1 (No. 2)
Unique sites:
La: 0.060 0.193 0.326
La: 0.298 0.837 0.120
La: 0.347 0.468 0.764
Zn: 0.362 0.772 0.490
Os: 0.228 0.162 0.971

[4]
First-principles (PBE) data for a relaxed LiPr2Au crystal, as listed in Alexandria.

Properties
Formation energy, eV/atom: -0.35
V, Å³/f.u.: 105.7

a b c (Å): 5.218 5.218 3.881
angles (deg): 90.00 90.00 90.00
Space group P4/mmm (No. 123)
Unique sites:
Li: 0.000 0.000 0.000
Pr: 0.000 0.500 0.500
Au: 0.500 0.500 0.000

[5]
First-principles (PBE) data for a relaxed Cr2HgOs crystal, as listed in Alexandria.

Properties
Formation energy, eV/atom: 0.42
V, Å³/f.u.: 59.0

a b c (Å): 2.768 2.768 7.696
angles (deg): 90.00 90.00 90.00
Space group P4/mmm (No. 123)
Unique sites:
Cr: 0.000 0.000 0.221
Hg: 0.500 0.500 0.500
Os: 0.500 0.500 0.000

[6]
First-principles (PBE) data for a relaxed Ac5AgPb4 crystal, as listed in Alexandria.

Properties
Formation energy, eV/atom: -0.43
V, Å³/f.u.: 348.8

a b c (Å): 3.987 3.987 21.945
angles (deg): 90.00 90.00 90.00
Space group P4/mmm (No. 123)
Unique sites:
Ac: 0.000 0.000 0.000
Ac: 0.000 0.000 0.206
Ac: 0.000 0.000 0.410
Ag: 0.500 0.500 0.500
Pb: 0.500 0.500 0.104
Pb: 0.500 0.500 0.311

[7]
First-principles (PBE) data for a relaxed TaPSe4 crystal, as listed in Alexandria.

Properties
V, Å³/f.u.: 116.6
Formation energy without anion corrections, kJ per mole of atoms: 103

a b c (Å): 7.754 7.754 7.754
angles (deg): 90.00 90.00 90.00
Space group F-43m (No. 216)
Unique sites:
Ta: 0.000 0.000 0.000
P: 0.250 0.250 0.750
Se: 0.126 0.126 0.374

[8]
First-principles (PBE) data for a relaxed LaP2Os crystal, as listed in Alexandria.

Properties
Formation energy, eV/atom: -0.17
V, Å³/f.u.: 72.2

a b c (Å): 3.273 3.273 6.734
angles (deg): 90.00 90.00 90.00
Space group P4mm (No. 99)
Unique sites:
La: 0.000 0.000 0.000
P: 0.000 0.000 0.505
P: 0.500 0.500 0.722
Os: 0.500 0.500 0.366

[9]
First-principles (PBE) data for a relaxed NpIn2Pb crystal, as listed in Alexandria.

Properties
Formation energy, eV/atom: 0.20
V, Å³/f.u.: 108.7

a b c (Å): 3.897 3.897 7.155
angles (deg): 90.00 90.00 90.00
Space group P4/mmm (No. 123)
Unique sites:
Np: 0.000 0.000 0.000
In: 0.500 0.500 0.260
Pb: 0.000 0.000 0.500

[10]
First-principles (PBE) data for a relaxed Tb2Tl3ZnS6 crystal, as listed in Alexandria.

Properties
V, Å³/f.u.: 298.2
Formation energy without anion corrections, kJ per mole of atoms: -100

a b c (Å): 6.937 11.896 7.610
angles (deg): 90.00 108.26 90.00
Space group C2/m (No. 12)
Unique sites:
Tb: 0.000 0.166 0.000
Tl: 0.000 0.000 0.500
Tl: 0.000 0.329 0.500
Zn: 0.000 0.500 0.000
S: 0.224 0.343 0.195
S: 0.240 0.000 0.212

[11]
First-principles (PBE) data for a relaxed Y2ZnGa crystal, as listed in Alexandria.

Properties
Formation energy, eV/atom: 0.41
V, Å³/f.u.: 111.5

a b c (Å): 3.231 5.713 12.080
angles (deg): 90.00 90.00 90.00
Space group Immm (No. 71)
Unique sites:
Y: 0.000 0.000 0.248
Zn: 0.000 0.000 0.000
Ga: 0.000 0.000 0.500

[12]
First-principles (PBE) data for a relaxed La2AlPb crystal, as listed in Alexandria.

Properties
Formation energy, eV/atom: -0.44
V, Å³/f.u.: 118.3

a b c (Å): 5.095 5.095 9.114
angles (deg): 90.00 90.00 90.00
Space group I4/mmm (No. 139)
Unique sites:
La: 0.000 0.500 0.250
Al: 0.000 0.000 0.000
Pb: 0.000 0.000 0.500